The following is a GGA+U calculation of crystalline Ho2HgWO8 at its relaxed geometry, from Alexandria via LeMat-Bulk.

Output
VASP energy, eV per atom: -6.7991
Mass density, g/cm3: 8.1
Symmetry: No. 2
DOS at the Fermi energy, states/eV per cell: 4.26
Total magnetization, μB per formula unit: 0.00

Lattice parameters (Å, degrees): 4.981 4.986 6.975 86.37 86.43 86.22
Positions (direct):
Ho1 0.016 0.015 0.254
Ho2 0.984 0.985 0.746
Hg1 0.500 0.500 0.000
W1 0.500 0.500 0.500
O1 0.199 0.801 0.000
O2 0.214 0.784 0.501
O3 0.289 0.286 0.675
O4 0.342 0.342 0.270
O5 0.658 0.658 0.730
O6 0.711 0.714 0.325
O7 0.786 0.216 0.499
O8 0.801 0.199 0.000